VASP calculation (GGA-PBE) on an optimized crystal structure of Mg2ZnHgSe4.

```
Mg2ZnHgSe4
1.0
-4.566 -1.519 3.623
1.830 -5.738 -0.105
4.792 4.633 2.978
Zn Mg Se Hg
1 2 4 1
direct
0.500 0.500 0.000
0.250 0.750 0.500
0.750 0.250 0.500
0.608 0.608 0.748
0.392 0.860 0.252
0.140 0.140 0.748
0.860 0.392 0.252
0.000 0.000 0.000
```

Formation energy from raw total energies: -849 meV/atom
Total DFT energy (no corrections): -3.187 eV per atom

---

VASP calculation (GGA-PBE) on an optimized crystal structure of MgSiHg2.

```
MgSiHg2
1.0
-2.020 -2.021 1.931
2.295 0.294 2.557
-3.419 5.721 2.412
Mg Hg Si
1 2 1
direct
0.500 0.500 0.250
0.000 0.000 0.504
0.000 0.000 0.996
0.500 0.500 0.750
```

Energy relative to the lowest polymorph listed for this composition: 55.0 meV per atom
Formation energy from raw total energies: 206 meV/atom
Total DFT energy (no corrections): -1.700 eV per atom
DOS at the Fermi energy: 1.51 states/eV/f.u.

---

VASP calculation (GGA-PBE) on an optimized crystal structure of MgSiHg2.

```
MgSiHg2
1.0
-3.149 -3.003 2.054
-1.200 -4.658 -0.141
3.034 -2.352 4.469
Hg Si Mg
2 1 1
direct
0.988 0.988 0.015
0.754 0.754 0.727
0.251 0.251 0.281
0.507 0.507 0.476
```

Energy relative to the lowest polymorph listed for this composition: 32.9 meV per atom
Formation energy from raw total energies: 184 meV/atom
Total DFT energy (no corrections): -1.722 eV per atom
DOS at the Fermi energy: 1.46 states/eV/f.u.

---

VASP calculation (GGA-PBE) on an optimized crystal structure of MgSiHg2.

```
MgSiHg2
1.0
-3.915 0.106 2.733
-4.609 -1.207 -0.322
-0.130 -5.260 2.290
Mg Hg Si
1 2 1
direct
0.750 0.750 0.750
0.502 0.502 0.495
0.998 0.998 0.005
0.250 0.250 0.250
```

Energy relative to the lowest polymorph listed for this composition: 3.8 meV per atom
Formation energy from raw total energies: 154 meV/atom
Total DFT energy (no corrections): -1.751 eV per atom
DOS at the Fermi energy: 1.38 states/eV/f.u.

---

VASP calculation (GGA-PBE) on an optimized crystal structure of MgSiHg3.

```
MgSiHg3
1.0
5.266 0.000 0.000
0.000 5.266 0.000
0.000 0.000 5.266
Mg Si Hg
1 1 3
direct
0.000 0.000 0.000
0.500 0.500 0.500
0.000 0.000 0.500
0.000 0.500 0.000
0.500 0.000 0.000
```

Energy relative to the lowest polymorph listed for this composition: 381.5 meV per atom
Formation energy from raw total energies: 672 meV/atom
Total DFT energy (no corrections): -0.913 eV per atom
DOS at the Fermi energy: 4.23 states/eV/f.u.

---

VASP calculation (GGA-PBE) on an optimized crystal structure of MgSi4Hg.

```
MgSi4Hg
1.0
0.000 3.746 3.746
3.746 0.000 3.746
3.746 3.746 0.000
Hg Si Mg
1 4 1
direct
0.750 0.750 0.750
0.879 0.374 0.374
0.374 0.879 0.374
0.374 0.374 0.374
0.374 0.374 0.879
0.000 0.000 0.000
```

Formation energy from raw total energies: 366 meV/atom
Total DFT energy (no corrections): -3.566 eV per atom
DOS at the Fermi energy: 3.08 states/eV/f.u.

---

VASP calculation (GGA-PBE) on an optimized crystal structure of Mg2SiHg2.

```
Mg2SiHg2
1.0
7.174 0.000 0.000
0.000 7.174 0.000
0.000 0.000 4.306
Mg Hg Si
4 4 2
direct
0.155 0.345 0.000
0.845 0.655 0.000
0.345 0.845 0.000
0.655 0.155 0.000
0.846 0.346 0.500
0.654 0.846 0.500
0.154 0.654 0.500
0.346 0.154 0.500
0.500 0.500 0.000
0.000 0.000 0.000
```

Formation energy from raw total energies: 102 meV/atom
Total DFT energy (no corrections): -1.741 eV per atom
DOS at the Fermi energy: 2.15 states/eV/f.u.

---

VASP calculation (GGA-PBE) on an optimized crystal structure of MgSiHg2.

```
MgSiHg2
1.0
-0.523 -3.789 1.479
-0.968 -0.989 -2.877
5.837 -1.891 -2.778
Hg Si Mg
2 1 1
direct
0.500 0.163 0.266
0.000 0.830 0.992
0.500 0.969 0.702
0.000 0.538 0.540
```

Energy relative to the lowest polymorph listed for this composition: 0.0 meV per atom
Formation energy from raw total energies: 151 meV/atom
Total DFT energy (no corrections): -1.755 eV per atom
DOS at the Fermi energy: 1.13 states/eV/f.u.

---

VASP calculation (GGA-PBE) on an optimized crystal structure of MgSiHg2.

```
MgSiHg2
1.0
-0.072 5.121 -0.412
-4.307 -1.493 2.372
1.538 0.260 2.956
Hg Mg Si
2 1 1
direct
0.000 0.000 0.000
0.500 0.500 0.000
0.500 0.000 0.500
0.000 0.500 0.500
```

Energy relative to the lowest polymorph listed for this composition: 39.4 meV per atom
Formation energy from raw total energies: 190 meV/atom
Total DFT energy (no corrections): -1.715 eV per atom
DOS at the Fermi energy: 0.92 states/eV/f.u.

---

VASP calculation (GGA-PBE) on an optimized crystal structure of MgSi2Hg.

```
MgSi2Hg
1.0
-3.495 -1.164 -0.716
-2.111 -1.493 2.720
-5.015 5.163 2.516
Mg Si Hg
1 2 1
direct
0.241 0.241 0.221
0.775 0.775 0.818
0.042 0.042 0.953
0.442 0.442 0.508
```

Energy relative to the lowest polymorph listed for this composition: 0.0 meV per atom
Formation energy from raw total energies: 96 meV/atom
Total DFT energy (no corrections): -3.090 eV per atom
DOS at the Fermi energy: 1.17 states/eV/f.u.

---

VASP calculation (GGA-PBE) on an optimized crystal structure of MgSi2Hg.

```
MgSi2Hg
1.0
3.840 0.004 0.009
-1.918 5.426 0.060
0.004 1.417 3.722
Si Hg Mg
2 1 1
direct
0.000 0.000 0.000
0.500 0.000 0.500
0.000 0.500 0.500
0.500 0.500 0.000
```

Energy relative to the lowest polymorph listed for this composition: 209.6 meV per atom
Formation energy from raw total energies: 305 meV/atom
Total DFT energy (no corrections): -2.880 eV per atom
DOS at the Fermi energy: 1.17 states/eV/f.u.

---

VASP calculation (GGA-PBE) on an optimized crystal structure of MgSi2Hg.

```
MgSi2Hg
1.0
-3.130 2.422 3.409
-4.484 1.453 -2.250
2.600 -4.527 0.152
Mg Hg Si
1 1 2
direct
0.750 0.250 0.500
0.500 0.500 0.000
0.000 0.000 0.000
0.250 0.750 0.500
```

Energy relative to the lowest polymorph listed for this composition: 232.5 meV per atom
Formation energy from raw total energies: 328 meV/atom
Total DFT energy (no corrections): -2.857 eV per atom
DOS at the Fermi energy: 1.63 states/eV/f.u.